[1]
LiCuS (PBE-GGA, relaxed); crystal system = tetragonal; uncorrected energy = -3.974 eV/atom
1.0
3.712 0.000 0.000
0.000 3.712 0.000
0.000 0.000 6.093
Li Cu S
2 2 2
Direct
0.250 0.250 0.157 Li
0.750 0.750 0.843 Li
0.250 0.750 0.500 Cu
0.750 0.250 0.500 Cu
0.250 0.250 0.752 S
0.750 0.750 0.248 S

[2]
BaNbB (PBE-GGA, relaxed); crystal system = cubic; uncorrected energy = -4.861 eV/atom; ΔE to the lowest computed polymorph = 0 meV/atom
1.0
0.000 3.197 3.197
3.197 0.000 3.197
3.197 3.197 0.000
Ba Nb B
1 1 1
Direct
0.000 0.000 0.000 Ba
0.500 0.500 0.500 Nb
0.250 0.250 0.250 B

> Look up the uncorrected energy of the first one.

-3.974 eV/atom